1.
Density functional theory data (GGA-PBE) for a relaxed MnOs crystal.

```
12
Lattice="6.463 0.000 0.000 0.000 6.463 0.000 0.000 0.000 6.463" Properties=species:S:1:pos:R:3 pbc="T T T"
Mn 0.000 1.616 3.232
Mn 0.000 4.847 3.232
Mn 1.616 3.232 0.000
Mn 3.232 0.000 1.616
Mn 3.232 0.000 4.847
Mn 4.847 3.232 0.000
Os 0.000 3.232 1.616
Os 0.000 3.232 4.847
Os 1.616 0.000 3.232
Os 3.232 1.616 0.000
Os 3.232 4.847 0.000
Os 4.847 0.000 3.232
```

Values from the calculation:
Formation enthalpy at 0 K = 157 kJ per mole of atoms
Volume = 270.0 Å³/cell
E_tot = -102.82 eV/cell

***

2.
Density functional theory data (GGA-PBE) for a relaxed MnOs5 crystal.

```
6
Lattice="4.301 0.000 0.000 0.000 1.366 7.057 0.000 -1.366 7.057" Properties=species:S:1:pos:R:3 pbc="T T T"
Mn 0.000 0.000 0.000
Os 0.000 0.000 4.758
Os 0.000 0.000 9.369
Os 2.151 0.000 1.531
Os 2.151 0.000 6.308
Os 2.151 0.000 10.993
```

Values from the calculation:
Formation enthalpy at 0 K = 0 kJ per mole of atoms
Volume = 82.9 Å³/cell
E_tot = -65.29 eV/cell

***

3.
Density functional theory data (GGA-PBE) for a relaxed Mn3Os crystal.

```
4
Lattice="2.621 0.000 0.000 0.000 3.623 0.000 0.000 0.000 5.186" Properties=species:S:1:pos:R:3 pbc="T T T"
Mn 0.000 0.000 0.000
Mn 1.311 1.812 1.276
Mn 1.311 1.812 3.911
Os 0.000 0.000 2.593
```

Values from the calculation:
Formation enthalpy at 0 K = 3 kJ per mole of atoms
Volume = 49.3 Å³/cell
E_tot = -38.59 eV/cell

***

4.
Density functional theory data (GGA-PBE) for a relaxed Mn2Os crystal.

```
3
Lattice="-1.306 1.815 3.860 1.306 -1.815 3.860 1.306 1.815 -3.860" Properties=species:S:1:pos:R:3 pbc="T T T"
Mn 0.000 0.000 1.301
Mn 0.000 0.000 6.419
Os 0.000 0.000 3.860
```

Values from the calculation:
Formation enthalpy at 0 K = 8 kJ per mole of atoms
Volume = 36.6 Å³/cell
E_tot = -29.32 eV/cell

***

5.
Density functional theory data (GGA-PBE) for a relaxed MnOs crystal.

```
4
Lattice="0.000 3.004 3.004 3.004 0.000 3.004 3.004 3.004 0.000" Properties=species:S:1:pos:R:3 pbc="T T T"
Mn 0.751 0.751 0.751
Mn 5.257 5.257 5.257
Os 2.253 2.253 2.253
Os 3.755 3.755 3.755
```

Values from the calculation:
Formation enthalpy at 0 K = 31 kJ per mole of atoms
Volume = 54.2 Å³/cell
E_tot = -39.52 eV/cell

***

6.
Density functional theory data (GGA-PBE) for a relaxed Mn2Os crystal.

```
6
Lattice="4.689 -1.314 0.000 4.689 1.314 0.000 -1.539 0.000 5.887" Properties=species:S:1:pos:R:3 pbc="T T T"
Mn -0.183 0.000 1.725
Mn 1.952 0.000 5.717
Mn 5.888 0.000 0.170
Mn 8.023 0.000 4.161
Os 2.353 0.000 2.086
Os 5.487 0.000 3.801
```

Values from the calculation:
Formation enthalpy at 0 K = 2 kJ per mole of atoms
Volume = 72.5 Å³/cell
E_tot = -58.99 eV/cell

***

7.
Density functional theory data (GGA-PBE) for a relaxed Mn2Os crystal.

```
3
Lattice="2.613 0.000 0.000 -1.307 2.263 0.000 0.000 0.000 6.228" Properties=species:S:1:pos:R:3 pbc="T T T"
Mn 0.000 1.509 2.148
Mn 1.307 0.754 4.080
Os 0.000 0.000 0.000
```

Values from the calculation:
Formation enthalpy at 0 K = 16 kJ per mole of atoms
Volume = 36.8 Å³/cell
E_tot = -29.08 eV/cell

***

8.
Density functional theory data (GGA-PBE) for a relaxed MnOs2 crystal.

```
6
Lattice="4.829 -1.351 0.000 4.829 1.351 0.000 -1.443 0.000 6.113" Properties=species:S:1:pos:R:3 pbc="T T T"
Mn 0.000 0.000 0.000
Mn 5.953 0.000 2.011
Os -0.323 0.000 3.706
Os 2.263 0.000 4.072
Os 3.381 0.000 1.660
Os 5.567 0.000 5.810
```

Values from the calculation:
Formation enthalpy at 0 K = 1 kJ per mole of atoms
Volume = 79.8 Å³/cell
E_tot = -63.23 eV/cell

***

Question: What is the formula in the third record?
Answer: Mn3Os

***

Question: Which formula does entry 7 have?
Answer: Mn2Os

***

Repeat the fifth record exactly.
Density functional theory data (GGA-PBE) for a relaxed MnOs crystal.

```
4
Lattice="0.000 3.004 3.004 3.004 0.000 3.004 3.004 3.004 0.000" Properties=species:S:1:pos:R:3 pbc="T T T"
Mn 0.751 0.751 0.751
Mn 5.257 5.257 5.257
Os 2.253 2.253 2.253
Os 3.755 3.755 3.755
```

Values from the calculation:
Formation enthalpy at 0 K = 31 kJ per mole of atoms
Volume = 54.2 Å³/cell
E_tot = -39.52 eV/cell

***

Question: formation enthalpy at 0 K of number 2 (MnOs5)?
Answer: 0 kJ per mole of atoms